Entry 1:
Density functional theory data (PBE) for a geometry-optimized Sm6Ni2HI3 structure.

Properties
final energy	-4.60	eV/atom
M_tot	0.0	μB per formula unit
Fermi-level density of states	17.13	states/eV per cell

Cell and atoms, written as CIF:
```
data_Sm6Ni2HI3
_chemical_formula_sum 'Sm12 Ni4 H2 I6'
_cell_length_a 7.044
_cell_length_b 12.218
_cell_length_c 8.204
_cell_angle_alpha 90.00
_cell_angle_beta 106.62
_cell_angle_gamma 90.00
_space_group_name_H-M_alt 'C 1 2/m 1'
_space_group_IT_number 12
loop_
_space_group_symop_operation_xyz
'x,y,z'
'-x,-y,-z'
'-x,y,-z'
'x,-y,z'
'x+1/2,y+1/2,z'
'-x+1/2,-y+1/2,-z'
'-x+1/2,y+1/2,-z'
'x+1/2,-y+1/2,z'
loop_
_atom_site_label
_atom_site_fract_x
_atom_site_fract_y
_atom_site_fract_z
_atom_site_occupancy
Sm1 0.217 0.000 0.180 1
Sm2 0.232 0.329 0.182 1
Ni1 0.000 0.167 0.000 1
H1 0.000 0.500 0.000 1
I1 0.000 0.000 0.500 1
I2 0.000 0.333 0.500 1
```

Entry 2:
Density functional theory data (PBE) for a geometry-optimized Cs6TeCl12 structure.

Properties
M_tot	2.0	μB per formula unit
Fermi-level density of states	24.18	states/eV per cell
energy relative to the elements, uncorrected	-1363	meV/atom

Cell and atoms, written as CIF:
```
data_Cs6TeCl12
_chemical_formula_sum 'Cs18 Te3 Cl36'
_cell_length_a 14.4846
_cell_length_b 14.4846
_cell_length_c 14.0247
_cell_angle_alpha 90.00
_cell_angle_beta 90.00
_cell_angle_gamma 120.00
_space_group_name_H-M_alt 'R -3'
_space_group_IT_number 148
_space_group_name_Hall '-R 3'
loop_
_atom_site_label
_atom_site_fract_x
_atom_site_fract_y
_atom_site_fract_z
_atom_site_occupancy
Cs1 0.0653 0.5871 0.3138 1
Te1 0.0000 0.0000 0.0000 1
Cl1 0.0435 0.8798 0.8959 1
Cl2 0.0753 0.5904 0.0640 1
```

> What is the formula in the first record?

Sm6Ni2HI3